DFT (PBE-GGA) results for SrTl2Pd2 after structural relaxation.

Cell and atoms, written as POSCAR:
```
SrTl2Pd2
1.0
8.303 0.000 0.000
0.000 8.303 0.000
0.000 0.000 3.369
Sr Tl Pd
2 4 4
Cartesian
0.000 0.000 0.000 Sr
4.152 4.152 0.000 Sr
1.059 3.093 0.000 Tl
3.093 7.245 0.000 Tl
5.211 1.059 0.000 Tl
7.245 5.211 0.000 Tl
1.447 5.598 1.684 Pd
2.705 1.447 1.684 Pd
5.598 6.857 1.684 Pd
6.857 2.705 1.684 Pd
```

Computed properties:
energy: -3.5975 eV/atom
ΔH_f (0 K): -0.238 eV/atom
symmetry: No. 127

***

DFT (PBE-GGA) results for AlInHg2Te4 after structural relaxation.

Cell and atoms, written as POSCAR:
```
AlInHg2Te4
1.0
6.744 0.000 0.000
0.003 6.745 0.000
3.365 3.364 6.714
Al In Hg Te
1 1 2 4
Cartesian
0.000 0.000 0.000 Al
3.376 6.744 3.356 In
6.736 6.741 6.713 Hg
6.741 3.368 3.356 Hg
1.471 5.126 1.534 Te
4.985 4.835 5.186 Te
5.270 1.619 1.525 Te
8.494 8.637 5.184 Te
```

Computed properties:
energy: -2.6235 eV/atom
energy relative to the elements, uncorrected: -0.167 eV/atom
symmetry: No. 1

***

DFT (PBE-GGA) results for Sm4DyCd after structural relaxation.

Cell and atoms, written as POSCAR:
```
Sm4DyCd
1.0
3.632 0.000 0.000
0.000 3.632 0.000
0.000 0.000 14.285
Sm Dy Cd
4 1 1
Cartesian
0.000 0.000 2.102 Sm
0.000 0.000 12.183 Sm
1.816 1.816 4.635 Sm
1.816 1.816 9.650 Sm
0.000 0.000 7.142 Dy
1.816 1.816 0.000 Cd
```

Computed properties:
energy: -4.1587 eV/atom
ΔH_f (0 K): -0.093 eV/atom
symmetry: No. 123

***

DFT (PBE-GGA) results for Rb2ReOs after structural relaxation.

Cell and atoms, written as POSCAR:
```
Rb2ReOs
1.0
-6.446 6.446 2.352
6.446 -6.446 2.352
6.446 6.446 -2.352
Rb Re Os
4 2 2
Cartesian
0.922 3.223 0.588 Rb
-3.223 5.524 1.764 Rb
-0.922 9.669 0.588 Rb
3.223 7.367 1.764 Rb
6.446 0.000 1.176 Re
0.000 0.000 2.352 Re
0.000 0.000 0.000 Os
0.000 6.446 1.176 Os
```

Computed properties:
energy: -4.6821 eV/atom
ΔH_f (0 K): 1.721 eV/atom
symmetry: No. 122